# 1
Material: Li2Sb
Method: DFT, GGA-PBEsol
State: optimized geometry

Lattice parameters (Å, degrees): 3.159 4.590 4.590 120.00 90.00 90.00
Positions (direct):
Sb 0.500 0.000 0.000
Li 0.801 0.667 0.333
Li 0.199 0.333 0.667

Properties
- formation energy without anion corrections (eV per atom) = -0.5338
- magnetic moment (μB per cell) = 0.000
- Fermi-level density of states (states/eV/f.u.) = 0.33



# 2
Material: LiSb
Method: DFT, GGA-PBEsol
State: optimized geometry

Lattice parameters (Å, degrees): 4.150 4.150 5.688 111.39 111.39 90.00
Positions (direct):
Sb 0.500 0.500 0.000
Sb 0.750 0.250 0.500
Li 0.000 0.000 0.000
Li 0.250 0.750 0.500

Properties
- formation energy without anion corrections (eV per atom) = -0.3558
- magnetic moment (μB per cell) = 0.000
- Fermi-level density of states (states/eV/f.u.) = 0.72



# 3
Material: Li2Sb
Method: DFT, GGA-PBEsol
State: optimized geometry

Lattice parameters (Å, degrees): 3.206 7.865 7.865 120.00 90.00 90.00
Positions (direct):
Li 0.000 0.000 0.293
Li 0.500 0.000 0.632
Li 0.500 0.368 0.368
Li 0.500 0.632 0.000
Li 0.000 0.293 0.000
Li 0.000 0.707 0.707
Sb 0.000 0.667 0.333
Sb 0.500 0.000 0.000
Sb 0.000 0.333 0.667

Properties
- formation energy without anion corrections (eV per atom) = -0.5898
- magnetic moment (μB per cell) = 0.000
- Fermi-level density of states (states/eV/f.u.) = 0.81



Look up the Fermi-level density of states of the second one. 0.72 states/eV/f.u.